Compound: PrNdSb2Te2
Source: OQMD via LeMat-Bulk
Functional: PBE
Structure: relaxed

It has space group P4mm (No. 99), with a = 4.372 Å, b = 4.372 Å, c = 9.549 Å, α = 90.00°, β = 90.00° and γ = 90.00°. Symmetry generates all atoms from Pr at (0.000, 0.000, 0.000), Nd at (0.500, 0.500, 0.550), Sb at (0.000, 0.500, 0.275), Te at (0.000, 0.000, 0.650) and Te at (0.500, 0.500, 0.899).

The calculation puts the uncorrected energy at -31.14 eV for the cell shown. The value obtained for the total magnetic moment is 0.001 μB per atom.

Compound: PrNd3Se7
Source: OQMD via LeMat-Bulk
Functional: PBE
Structure: relaxed

It has space group Amm2 (No. 38), with a = 10.718 Å, b = 4.353 Å, c = 13.842 Å, α = 90.00°, β = 90.00° and γ = 90.00°. Symmetry generates all atoms from Pr at (0.000, 0.000, 0.000), Nd at (0.259, 0.000, 0.718), Nd at (0.500, 0.000, 0.993), Se at (0.000, 0.000, 0.646), Se at (0.115, 0.000, 0.357), Se at (0.253, 0.000, 0.077), Se at (0.500, 0.000, 0.341) and Se at (0.500, 0.000, 0.631).

The calculation puts the uncorrected energy at -121.72 eV for the cell shown. The value obtained for the total magnetic moment is 0.000 μB per atom.

Compound: PrNd5Se6
Source: OQMD via LeMat-Bulk
Functional: PBE
Structure: relaxed

It has space group C2/m (No. 12), with a = 7.325 Å, b = 12.723 Å, c = 7.314 Å, α = 90.00°, β = 109.61° and γ = 90.00°. Symmetry generates all atoms from Pr at (0.000, 0.000, 0.000), Nd at (0.000, 0.165, 0.500), Nd at (0.000, 0.333, 0.000), Nd at (0.000, 0.500, 0.500), Se at (0.248, 0.500, 0.250) and Se at (0.249, 0.332, 0.749).

The calculation puts the uncorrected energy at -143.18 eV for the cell shown. The value obtained for the total magnetic moment is 0.001 μB per atom.

Compound: Pr4Nd4Se3
Source: OQMD via LeMat-Bulk
Functional: PBE
Structure: relaxed

It has space group Amm2 (No. 38), with a = 10.668 Å, b = 3.670 Å, c = 17.312 Å, α = 90.00°, β = 90.00° and γ = 90.00°. Symmetry generates all atoms from Pr at (0.000, 0.000, 0.000), Pr at (0.231, 0.000, 0.844), Pr at (0.500, 0.000, 0.980), Nd at (0.000, 0.000, 0.697), Nd at (0.276, 0.000, 0.137), Nd at (0.500, 0.000, 0.744), Se at (0.000, 0.000, 0.348) and Se at (0.262, 0.000, 0.488).

The calculation puts the uncorrected energy at -113.49 eV for the cell shown. The value obtained for the total magnetic moment is 0.000 μB per atom.